# ZrPt2Au

Crystalline ZrPt2Au at its relaxed geometry (GGA-PBE, Alexandria via LeMat-Bulk).

Geometry as CIF:
```
data_ZrPt2Au
_chemical_formula_sum 'Zr4 Pt8 Au4'
_space_group_name_H-M_alt 'F m -3 m'
_space_group_IT_number 225
_space_group_name_Hall '-F 4 2 3'
_cell_length_a 6.572
_cell_length_b 6.572
_cell_length_c 6.572
_cell_angle_alpha 90.00
_cell_angle_beta 90.00
_cell_angle_gamma 90.00
loop_
_atom_site_label
_atom_site_type_symbol
_atom_site_fract_x
_atom_site_fract_y
_atom_site_fract_z
Zr1 Zr 0.000 0.000 0.000
Pt1 Pt 0.250 0.250 0.250
Au1 Au 0.000 0.000 0.500
```

Properties
The formation energy is -0.6899 eV per atom. As for the volume: 17.741 Å³ per atom. The value obtained for the electronic total energy is -26.67 eV/f.u.